No. 1
Entry from the Alexandria database: an optimized crystal structure of Sc4BiTe2Pb (PBE).

a b c (Å): 7.2812 4.2115 7.2911
angles (deg): 90.00 109.44 90.00
Sites, in units of the cell vectors:
Sc1 0.2444 0.0000 0.2443
Sc2 0.2471 0.5000 0.7543
Sc3 0.7529 0.5000 0.2457
Sc4 0.7556 0.0000 0.7557
Bi1 0.5000 0.0000 0.0000
Te1 0.0000 0.0000 0.5000
Te2 0.5000 0.5000 0.5000
Pb1 0.0000 0.5000 0.0000

Properties
Uncorrected formation energy (eV per atom): -0.84
Crystal system: monoclinic

No. 2
Entry from the Alexandria database: an optimized crystal structure of ScBiTe2Pb (PBE).

a b c (Å): 5.7830 5.7830 5.7969
angles (deg): 90.00 90.00 90.00
Sites, in units of the cell vectors:
Sc1 0.0000 0.0000 0.0000
Bi1 0.5000 0.5000 0.0000
Te1 0.0000 0.5000 0.5000
Te2 0.5000 0.0000 0.5000
Pb1 0.5000 0.5000 0.5000

Properties
Uncorrected formation energy (eV per atom): 0.58
Crystal system: tetragonal

No. 3
Entry from the Alexandria database: an optimized crystal structure of Sc6BiTe3Pb2 (PBE).

a b c (Å): 9.4029 9.4029 8.4282
angles (deg): 102.99 102.99 25.85
Sites, in units of the cell vectors:
Sc1 0.0033 0.0033 0.2509
Sc2 0.3319 0.3319 0.4206
Sc3 0.3331 0.3331 0.9098
Sc4 0.6669 0.6669 0.0902
Sc5 0.6681 0.6681 0.5794
Sc6 0.9967 0.9967 0.7491
Bi1 0.5000 0.5000 0.0000
Te1 0.1654 0.1654 0.8337
Te2 0.5000 0.5000 0.5000
Te3 0.8346 0.8346 0.1663
Pb1 0.1672 0.1672 0.3338
Pb2 0.8328 0.8328 0.6662

Properties
Uncorrected formation energy (eV per atom): -0.81
Crystal system: monoclinic

No. 4
Entry from the Alexandria database: an optimized crystal structure of ScBiPbW2 (PBE).

a b c (Å): 5.0933 5.0933 5.2766
angles (deg): 90.00 90.00 90.00
Sites, in units of the cell vectors:
Sc1 0.0000 0.0000 0.0000
Bi1 0.5000 0.5000 0.0000
Pb1 0.0000 0.0000 0.5000
W1 0.0000 0.5000 0.5000
W2 0.5000 0.0000 0.5000

Properties
Formation energy (meV/atom): 2022
Crystal system: tetragonal